[1]
YIrPb PBE relaxed; crystal system = tetragonal; uncorrected energy = -6.658 eV/atom; E_form = -0.31 eV/atom; SG = I4mm
1.0
3.4037 0.0000 0.0000
0.0000 3.4037 0.0000
0.0000 0.0000 11.8734
Y Ir Pb
2 2 2
direct
0.0000 0.0000 0.0000 Y
0.5000 0.5000 0.5000 Y
0.0000 0.0000 0.6382 Ir
0.5000 0.5000 0.1382 Ir
0.0000 0.0000 0.2875 Pb
0.5000 0.5000 0.7875 Pb


[2]
BaLiRe PBE relaxed; crystal system = trigonal; uncorrected energy = -4.346 eV/atom; E_form = 1.08 eV/atom; SG = P3m1
1.0
5.2131 0.0000 0.0000
-2.6066 4.5147 0.0000
0.0000 0.0000 2.8866
Ba Li Re
1 1 1
direct
0.0000 0.0000 0.0000 Ba
0.6667 0.3333 0.3350 Li
0.3333 0.6667 0.5356 Re


[3]
Nd2VIn PBE relaxed; crystal system = trigonal; uncorrected energy = -4.853 eV/atom; E_form = 0.49 eV/atom; SG = R-3m
1.0
3.3661 0.0000 0.0000
-1.6831 2.9152 0.0000
0.0000 0.0000 34.0648
Nd V In
6 3 3
direct
0.0000 0.0000 0.0843 Nd
0.0000 0.0000 0.9157 Nd
0.3333 0.6667 0.5824 Nd
0.3333 0.6667 0.7510 Nd
0.6667 0.3333 0.2490 Nd
0.6667 0.3333 0.4176 Nd
0.0000 0.0000 0.0000 V
0.3333 0.6667 0.6667 V
0.6667 0.3333 0.3333 V
0.0000 0.0000 0.5000 In
0.3333 0.6667 0.1667 In
0.6667 0.3333 0.8333 In


[4]
CaMnRu4 PBE relaxed; crystal system = cubic; uncorrected energy = -7.735 eV/atom; E_form = 0.31 eV/atom; SG = F-43m
1.0
0.0000 3.6898 3.6898
3.6898 0.0000 3.6898
3.6898 3.6898 0.0000
Ca Mn Ru
1 1 4
direct
0.0000 0.0000 0.0000 Ca
0.7500 0.7500 0.7500 Mn
0.3756 0.3756 0.3756 Ru
0.3756 0.3756 0.8731 Ru
0.3756 0.8731 0.3756 Ru
0.8731 0.3756 0.3756 Ru


[5]
LiHfBSe2 PBE relaxed; crystal system = tetragonal; ΔE_f (raw) = -65 meV/atom; uncorrected energy = -5.168 eV/atom; SG = P4/mmm
1.0
5.1979 0.0000 0.0000
0.0000 5.1979 0.0000
0.0000 0.0000 4.5913
Li Hf B Se
1 1 1 2
direct
0.0000 0.0000 0.0000 Li
0.5000 0.5000 0.5000 Hf
0.5000 0.5000 0.0000 B
0.0000 0.5000 0.5000 Se
0.5000 0.0000 0.5000 Se